Material: DyUCl6
Method: DFT, GGA-PBE
State: relaxed

abc: 7.4064 7.4064 7.4064
angles: 55.41 55.41 55.41
With the nearest neighbours (Å) after each atom.
Element x y z (fractional)
Cl  0.8980  0.2441  0.6134  1 Dy 2.66, 1 U 2.77
Cl  0.7559  0.3866  0.1020  1 Dy 2.66, 1 U 2.77
Cl  0.2441  0.6134  0.8980  1 Dy 2.66, 1 U 2.77
Cl  0.6134  0.8980  0.2441  1 Dy 2.66, 1 U 2.77
Cl  0.3866  0.1020  0.7559  1 Dy 2.66, 1 U 2.77
Cl  0.1020  0.7559  0.3866  1 Dy 2.66, 1 U 2.77
U  0.5000  0.5000  0.5000  6 Cl 2.77
Dy  0.0000  0.0000  0.0000  6 Cl 2.66

Size of the total moment = 3.0 Bohr magnetons per cell
Final energy = -5.317 eV per atom

***

Material: Cs3H12Au5
Method: DFT, GGA-PBE
State: relaxed

abc: 11.5929 11.5929 11.5929
angles: 109.47 109.47 109.47
With the nearest neighbours (Å) after each atom.
Element x y z (fractional)
H  0.4278  0.0744  0.6036  2 Au 1.83-1.97
H  0.9709  0.3964  0.8242  2 Au 1.83-1.97
H  0.0722  0.1758  0.1467  2 Au 1.83-1.97
H  0.5722  0.6467  0.6758  2 Au 1.83-1.97
H  0.4709  0.3242  0.8964  2 Au 1.83-1.97
H  0.5744  0.6036  0.9278  2 Au 1.83-1.97
H  0.0744  0.6467  0.4709  2 Au 1.83-1.97
H  0.0291  0.4256  0.3533  2 Au 1.83-1.97
H  0.3964  0.9709  0.3242  2 Au 1.83-1.97
H  0.3242  0.4709  0.3964  2 Au 1.83-1.97
H  0.8242  0.8964  0.9709  2 Au 1.83-1.97
H  0.8242  0.9278  0.3533  2 Au 1.83-1.97
H  0.6467  0.0744  0.9709  2 Au 1.83-1.97
H  0.0291  0.6036  0.1758  2 Au 1.83-1.97
H  0.4256  0.3964  0.0722  2 Au 1.83-1.97
H  0.9278  0.8242  0.8533  2 Au 1.83-1.97
H  0.8533  0.5291  0.4256  2 Au 1.83-1.97
H  0.3533  0.4278  0.8242  2 Au 1.83-1.97
H  0.4278  0.3533  0.3242  2 Au 1.83-1.97
H  0.3964  0.4256  0.5722  2 Au 1.83-1.97
H  0.1036  0.1758  0.5291  2 Au 1.83-1.97
H  0.0744  0.4278  0.1036  2 Au 1.83-1.97
H  0.1036  0.9278  0.0744  2 Au 1.83-1.97
H  0.9256  0.3533  0.5291  2 Au 1.83-1.97
H  0.4709  0.1467  0.0744  2 Au 1.83-1.97
H  0.8964  0.8242  0.4709  2 Au 1.83-1.97
H  0.3242  0.8533  0.4278  2 Au 1.83-1.97
H  0.6758  0.5291  0.6036  2 Au 1.83-1.97
H  0.3533  0.9256  0.0291  2 Au 1.83-1.97
H  0.5291  0.6758  0.1036  2 Au 1.83-1.97
H  0.6467  0.5722  0.1758  2 Au 1.83-1.97
H  0.1758  0.0722  0.6467  2 Au 1.83-1.97
H  0.8533  0.3242  0.9278  2 Au 1.83-1.97
H  0.0722  0.8964  0.4256  2 Au 1.83-1.97
H  0.6036  0.0291  0.6758  2 Au 1.83-1.97
H  0.1758  0.1036  0.0291  2 Au 1.83-1.97
H  0.9709  0.5744  0.6467  2 Au 1.83-1.97
H  0.5744  0.9709  0.1467  2 Au 1.83-1.97
H  0.5722  0.9256  0.3964  2 Au 1.83-1.97
H  0.9278  0.1036  0.5744  2 Au 1.83-1.97
H  0.8964  0.0722  0.9256  2 Au 1.83-1.97
H  0.6036  0.5744  0.4278  2 Au 1.83-1.97
H  0.6758  0.1467  0.5722  2 Au 1.83-1.97
H  0.9256  0.5722  0.8964  2 Au 1.83-1.97
H  0.1467  0.4709  0.5744  2 Au 1.83-1.97
H  0.4256  0.0291  0.8533  2 Au 1.83-1.97
H  0.1467  0.6758  0.0722  2 Au 1.83-1.97
H  0.5291  0.8533  0.9256  2 Au 1.83-1.97
Au  0.2500  0.3750  0.6250  4 H 1.97
Au  0.0000  0.5000  0.5000  6 H 1.83
Au  0.5000  0.0000  0.5000  6 H 1.83
Au  0.7500  0.1250  0.8750  4 H 1.97
Au  0.5000  0.5000  0.5000  6 H 1.83
Au  0.1250  0.3750  0.2500  4 H 1.97
Au  0.3750  0.2500  0.1250  4 H 1.97
Au  0.8750  0.2500  0.6250  4 H 1.97
Au  0.6250  0.7500  0.8750  4 H 1.97
Au  0.3750  0.1250  0.7500  4 H 1.97
Au  0.0000  0.0000  0.5000  6 H 1.83
Au  0.0000  0.5000  0.0000  6 H 1.83
Au  0.1250  0.7500  0.3750  4 H 1.97
Au  0.8750  0.6250  0.7500  4 H 1.97
Au  0.5000  0.0000  0.0000  6 H 1.83
Au  0.7500  0.6250  0.3750  4 H 1.97
Au  0.5000  0.5000  0.0000  6 H 1.83
Au  0.0000  0.0000  0.0000  6 H 1.83
Au  0.6250  0.8750  0.2500  4 H 1.97
Au  0.2500  0.8750  0.1250  4 H 1.97
Cs  0.1250  0.2500  0.8750  8 H 2.90-3.13
Cs  0.3750  0.6250  0.2500  8 H 2.90-3.13
Cs  0.8750  0.1250  0.2500  8 H 2.90-3.13
Cs  0.7500  0.8750  0.6250  8 H 2.90-3.13
Cs  0.6250  0.2500  0.3750  8 H 2.90-3.13
Cs  0.8750  0.7500  0.1250  8 H 2.90-3.13
Cs  0.6250  0.3750  0.7500  8 H 2.90-3.13
Cs  0.2500  0.6250  0.8750  8 H 2.90-3.13
Cs  0.2500  0.1250  0.3750  8 H 2.90-3.13
Cs  0.1250  0.8750  0.7500  8 H 2.90-3.13
Cs  0.7500  0.3750  0.1250  8 H 2.90-3.13
Cs  0.3750  0.7500  0.6250  8 H 2.90-3.13

Size of the total moment = 0.0 Bohr magnetons per cell
Final energy = -2.838 eV per atom

***

Material: SiB2PC
Method: DFT, GGA-PBE
State: relaxed

abc: 6.6939 2.8914 6.0907
angles: 90.00 111.88 90.00
With the nearest neighbours (Å) after each atom.
Element x y z (fractional)
C  0.4528  0.0000  0.7482  3 B 1.59-1.61
C  0.4528  0.5000  0.2482  3 B 1.59-1.61
B  0.5627  0.5000  0.8296  2 C 1.61
B  0.2023  0.0000  0.5951  1 C 1.59
B  0.2023  0.5000  0.0951  1 C 1.59
B  0.5627  0.0000  0.3296  2 C 1.61
Si  0.7198  0.0000  0.6767  3 B 1.98-2.19, 1 C 1.99
Si  0.7198  0.5000  0.1767  3 B 1.98-2.19, 1 C 1.99
P  0.0879  0.5000  0.3663  3 B 1.96-2.06
P  0.0879  0.0000  0.8663  3 B 1.96-2.06

Size of the total moment = 0.0 Bohr magnetons per cell
Final energy = -6.443 eV per atom

***

Material: LiTb3Sc2Te6
Method: DFT, GGA-PBE
State: relaxed

abc: 4.2776 8.5539 9.5637
angles: 102.95 102.92 90.00
With the nearest neighbours (Å) after each atom.
Element x y z (fractional)
Tb  0.8346  0.1711  0.6692  6 Te 3.06-3.11
Tb  0.5000  0.5000  0.0000  6 Te 3.07-3.10
Tb  0.1654  0.8289  0.3308  6 Te 3.06-3.11
Te  0.6694  0.5761  0.3388  3 Sc 2.93-2.95, 3 Tb 3.06-3.07
Te  0.6632  0.0922  0.3264  1 Li 2.96, 2 Sc 3.01, 3 Tb 3.11
Te  0.0046  0.2395  0.0093  2 Li 2.95, 1 Sc 2.97, 3 Tb 3.09-3.10
Te  0.9954  0.7605  0.9907  2 Li 2.95, 1 Sc 2.97, 3 Tb 3.09-3.10
Te  0.3368  0.9078  0.6736  1 Li 2.96, 2 Sc 3.01, 3 Tb 3.11
Te  0.3306  0.4239  0.6612  3 Sc 2.93-2.95, 3 Tb 3.06-3.07
Sc  0.8319  0.6581  0.6638  6 Te 2.93-3.01
Sc  0.1681  0.3419  0.3362  6 Te 2.93-3.01
Li  0.5000  0.0000  0.0000  6 Te 2.95-2.96

Size of the total moment = 0.0 Bohr magnetons per cell
Final energy = -5.193 eV per atom